Entry 1:
# PBE PmUH, optimized geometry
data_PmUH
_chemical_formula_sum 'Pm4 U4 H4'
_space_group_name_H-M_alt 'F m m 2'
_space_group_IT_number 42
_space_group_name_Hall 'F 2 -2'
_cell_length_a 3.240
_cell_length_b 5.484
_cell_length_c 13.004
_cell_angle_alpha 90.00
_cell_angle_beta 90.00
_cell_angle_gamma 90.00
loop_
_atom_site_label
_atom_site_type_symbol
_atom_site_fract_x
_atom_site_fract_y
_atom_site_fract_z
Pm1 Pm 0.000 0.000 0.000
U1 U 0.000 0.000 0.734
H1 H 0.000 0.000 0.360
# - theoretical density (g/cm3) = 11.04
# - total energy (eV per atom) = -6.125



Entry 2:
# PBE PmV3H6, optimized geometry
data_PmV3H6
_chemical_formula_sum 'Pm3 V9 H18'
_space_group_name_H-M_alt 'R 3'
_space_group_IT_number 146
_space_group_name_Hall 'R 3'
_cell_length_a 5.0010
_cell_length_b 5.0010
_cell_length_c 11.7435
_cell_angle_alpha 90.00
_cell_angle_beta 90.00
_cell_angle_gamma 120.00
loop_
_atom_site_label
_atom_site_type_symbol
_atom_site_fract_x
_atom_site_fract_y
_atom_site_fract_z
Pm1 Pm 0.0000 0.0000 0.0000
V1 V 0.0000 0.0000 0.2474
V2 V 0.0000 0.0000 0.5044
V3 V 0.0000 0.0000 0.7463
H1 H 0.0454 0.3419 0.8231
H2 H 0.1440 0.7512 0.2969
# - theoretical density (g/cm3) = 5.95
# - total energy (eV per atom) = -5.368



Entry 3:
# PBE Pm12V3H5, optimized geometry
data_Pm12V3H5
_chemical_formula_sum 'Pm96 V24 H40'
_space_group_name_H-M_alt 'I a -3 d'
_space_group_IT_number 230
_space_group_name_Hall '-I 4bd 2c 3'
_cell_length_a 15.781
_cell_length_b 15.781
_cell_length_c 15.781
_cell_angle_alpha 90.00
_cell_angle_beta 90.00
_cell_angle_gamma 90.00
loop_
_atom_site_label
_atom_site_type_symbol
_atom_site_fract_x
_atom_site_fract_y
_atom_site_fract_z
Pm1 Pm 0.037 0.057 0.652
V1 V 0.000 0.250 0.125
H1 H 0.000 0.000 0.000
H2 H 0.000 0.250 0.375
# - theoretical density (g/cm3) = 6.42
# - total energy (eV per atom) = -5.005



Q: What is the formula in the third record?
A: Pm12V3H5